1.
The following is a DFT calculation (PBE) of crystalline Cs2LiPmF6 at its relaxed geometry.

Structure (POSCAR):
```
Cs2LiPmF6
1.0
-0.3316 -1.2277 -6.2555
-5.0911 -3.7154 1.0118
-5.4303 1.1017 -3.1794
Cs Li Pm F
2 1 1 6
Direct
0.2500 0.7500 0.5000 Cs
0.7500 0.2500 0.5000 Cs
0.0000 0.0000 0.0000 Li
0.5000 0.5000 0.0000 Pm
0.2478 0.7522 0.0000 F
0.7528 0.7528 0.9999 F
0.2481 0.2481 0.5037 F
0.7522 0.2478 0.0000 F
0.2472 0.2472 0.0001 F
0.7519 0.7519 0.4963 F
```

Computed properties:
- total magnetic moment (μB per formula unit) = 0.00
- space group = I4/mmm

***

2.
The following is a DFT calculation (PBE) of crystalline K2BaAuO at its relaxed geometry.

Structure (POSCAR):
```
K2BaAuO
1.0
5.3851 0.0000 0.0000
0.0000 5.3851 0.0000
0.0000 0.0000 5.2790
K Au Ba O
2 1 1 1
Direct
0.0000 0.5000 0.0000 K
0.5000 0.0000 0.0000 K
0.5000 0.5000 0.5000 Au
0.0000 0.0000 0.5000 Ba
0.0000 0.0000 0.0000 O
```

Computed properties:
- total magnetic moment (μB per formula unit) = 0.00
- space group = P4/mmm

***

3.
The following is a DFT calculation (PBE) of crystalline Ta2BTeOs at its relaxed geometry.

Structure (POSCAR):
```
Ta2BTeOs
1.0
4.2996 0.0000 0.0000
0.0000 4.6060 0.0000
0.0000 0.0000 4.2996
B Te Os Ta
1 1 1 2
Direct
0.0000 0.0000 0.0000 B
0.0000 0.5000 0.0000 Te
0.5000 0.5000 0.5000 Os
0.0000 0.0000 0.5000 Ta
0.5000 0.0000 0.0000 Ta
```

Computed properties:
- total magnetic moment (μB per formula unit) = 0.00
- space group = P4/mmm

***

| no. | DFT total energy (eV per atom) | uncorrected formation energy (eV/f.u.) |
| --- | --- | --- |
| 1 | -5.254 | -32.94 |
| 2 | -3.440 | -4.84 |
| 3 | -8.156 | 3.98 |